Record 1
CaTl2W | PBE-GGA | relaxed

The value obtained for the calculated formation energy is 0.746 eV per atom. The energy above the most stable polymorph in this dataset comes out at 223 meV/atom.

The structure belongs to space group P4mm (No. 99); the cell edges are 3.6506, 3.6506 and 7.6952 Å and the angles 90.00°, 90.00° and 90.00°. The asymmetric unit holds Ca at (0.0000, 0.0000, 0.0000), Tl at (0.0000, 0.0000, 0.5850), Tl at (0.5000, 0.5000, 0.3139) and W at (0.5000, 0.5000, 0.7356).



Record 2
CaTlW2 | PBE-GGA | relaxed

The value obtained for the calculated formation energy is 1.086 eV per atom. The energy above the most stable polymorph in this dataset comes out at 646 meV/atom.

The structure belongs to space group P4/mmm (No. 123); the cell edges are 3.6935, 3.6935 and 6.6560 Å and the angles 90.00°, 90.00° and 90.00°. The asymmetric unit holds Ca at (0.0000, 0.0000, 0.0000), Tl at (0.0000, 0.0000, 0.5000) and W at (0.5000, 0.5000, 0.3211).



Record 3
CaTl2W | PBE-GGA | relaxed

The value obtained for the calculated formation energy is 0.768 eV per atom. The energy above the most stable polymorph in this dataset comes out at 246 meV/atom.

The structure belongs to space group Pmm2 (No. 25); the cell edges are 3.1358, 4.9256 and 6.1361 Å and the angles 90.00°, 90.00° and 90.00°. The asymmetric unit holds Ca at (0.0000, 0.0000, 0.0000), Tl at (0.0000, 0.0000, 0.5216), Tl at (0.5000, 0.5000, 0.2380) and W at (0.5000, 0.5000, 0.7459).



Record 4
CaTlW4 | PBE-GGA | relaxed

The value obtained for the calculated formation energy is 0.687 eV per atom.

The structure belongs to space group F-43m (No. 216); the cell edges are 7.7709, 7.7709 and 7.7709 Å and the angles 90.00°, 90.00° and 90.00°. The asymmetric unit holds Ca at (0.0000, 0.0000, 0.0000), Tl at (0.2500, 0.2500, 0.7500) and W at (0.1252, 0.1252, 0.3748).



Record 5
CaTlW2 | PBE-GGA | relaxed

The value obtained for the calculated formation energy is 0.926 eV per atom. The energy above the most stable polymorph in this dataset comes out at 485 meV/atom.

The structure belongs to space group C2/m (No. 12); the cell edges are 5.8260, 10.3878 and 2.8564 Å and the angles 90.00°, 113.17° and 90.00°. The asymmetric unit holds Ca at (0.0000, 0.0000, 0.0000), Tl at (0.0000, 0.5000, 0.0000) and W at (0.2500, 0.2500, 0.5000).



Record 6
CaTlW2 | PBE-GGA | relaxed

The value obtained for the calculated formation energy is 0.926 eV per atom. The energy above the most stable polymorph in this dataset comes out at 486 meV/atom.

The structure belongs to space group Immm (No. 71); the cell edges are 3.5720, 4.5062 and 9.9883 Å and the angles 90.00°, 90.00° and 90.00°. The asymmetric unit holds Ca at (0.0000, 0.0000, 0.0000), Tl at (0.0000, 0.0000, 0.5000) and W at (0.0000, 0.5000, 0.2439).



The lowest calculated formation energy belongs to which entry?
CaTlW4